Record 1
# PmSm2Os

Crystalline PmSm2Os at its relaxed geometry (PBE, Alexandria).

a = 4.042 Å, b = 6.445 Å, c = 9.273 Å
α = 90.00°, β = 90.00°, γ = 108.28°
Sites, in units of the cell vectors:
1 Os 0.243 0.486 0.750
2 Os 0.757 0.514 0.250
3 Sm 0.145 0.290 0.431
4 Sm 0.855 0.710 0.931
5 Sm 0.145 0.290 0.069
6 Sm 0.855 0.710 0.569
7 Pm 0.578 0.155 0.750
8 Pm 0.422 0.845 0.250

Computed properties:
E above lowest polymorph   0.07 eV per formula unit
Calculated formation energy   -130 meV/atom
Crystal system   orthorhombic

---

Record 2
# BaNaSe2

Crystalline BaNaSe2 at its relaxed geometry (PBE, Alexandria).

a = 6.071 Å, b = 6.071 Å, c = 9.453 Å
α = 71.27°, β = 71.27°, γ = 90.00°
Sites, in units of the cell vectors:
1 Na 0.500 0.500 0.000
2 Na 0.250 0.750 0.500
3 Se 0.186 0.625 0.250
4 Se 0.375 0.436 0.750
5 Se 0.875 0.814 0.750
6 Se 0.564 0.125 0.250
7 Ba 0.000 0.000 0.000
8 Ba 0.750 0.250 0.500

Computed properties:
Crystal system   tetragonal
Energy relative to the elements, uncorrected   -1.039 eV/atom

---

Record 3
# CsHg3F

Crystalline CsHg3F at its relaxed geometry (PBE, Alexandria).

a = 7.299 Å, b = 7.299 Å, c = 7.299 Å
α = 90.00°, β = 90.00°, γ = 90.00°
Sites, in units of the cell vectors:
1 F 0.500 0.500 0.500
2 Hg 0.500 0.000 0.000
3 Hg 0.000 0.500 0.000
4 Hg 0.000 0.000 0.500
5 Cs 0.000 0.000 0.000

Computed properties:
E above lowest polymorph   1.82 eV per formula unit
Crystal system   cubic
Energy relative to the elements, uncorrected   -0.291 eV/atom

---

Record 4
# Y2BeIn

Crystalline Y2BeIn at its relaxed geometry (PBE, Alexandria).

a = 3.358 Å, b = 3.359 Å, c = 8.448 Å
α = 90.00°, β = 90.00°, γ = 90.05°
Sites, in units of the cell vectors:
1 In 0.500 0.500 0.695
2 Be 0.000 0.000 0.525
3 Y 0.000 0.000 0.976
4 Y 0.500 0.500 0.305

Computed properties:
E above lowest polymorph   0.97 eV per formula unit
Calculated formation energy   23 meV/atom
Crystal system   tetragonal

---

Record 5
# Sr4CdFe

Crystalline Sr4CdFe at its relaxed geometry (PBE, Alexandria).

a = 7.078 Å, b = 7.078 Å, c = 7.078 Å
α = 60.00°, β = 60.00°, γ = 60.00°
Sites, in units of the cell vectors:
1 Cd 0.750 0.750 0.750
2 Fe 0.000 0.000 0.000
3 Sr 0.374 0.877 0.374
4 Sr 0.374 0.374 0.877
5 Sr 0.374 0.374 0.374
6 Sr 0.877 0.374 0.374

Computed properties:
Calculated formation energy   848 meV/atom
Crystal system   cubic

---

Record 6
# La3Er2In2

Crystalline La3Er2In2 at its relaxed geometry (PBE, Alexandria).

a = 3.326 Å, b = 5.536 Å, c = 11.552 Å
α = 103.87°, β = 90.00°, γ = 90.00°
Sites, in units of the cell vectors:
1 La 0.000 0.716 0.433
2 La 0.000 0.000 0.000
3 La 0.000 0.284 0.567
4 Er 0.000 0.574 0.148
5 Er 0.000 0.426 0.852
6 In 0.500 0.142 0.284
7 In 0.500 0.858 0.716

Computed properties:
Calculated formation energy   -81 meV/atom
Crystal system   orthorhombic

---

Number 1: DOS at the Fermi energy 3.73 states/eV/f.u.. Number 2: DOS at the Fermi energy 2.64 states/eV/f.u.. Number 3: DOS at the Fermi energy 0.47 states/eV/f.u.. Number 4: DOS at the Fermi energy 1.49 states/eV/f.u.. Number 5: DOS at the Fermi energy 11.38 states/eV/f.u.. Number 6: DOS at the Fermi energy 9.67 states/eV/f.u..